Below is a relaxed HfInIr2 crystal, with properties calculated at the PBE-GGA level.

Unit cell a=3.3725 b=3.3725 c=6.1379 alpha=90.00 beta=90.00 gamma=90.00
Closest atoms and distances in Å follow each position.
Space group P4/mmm (No. 123)
Symmetry-distinct sites (fractional):
Hf 0.0000 0.0000 0.0000 (multiplicity 1)  8 Ir 2.81, 2 In 3.07
In 0.0000 0.0000 0.5000 (multiplicity 1)  8 Ir 2.86, 2 Hf 3.07
Ir 0.5000 0.5000 0.2435 (multiplicity 2)  4 Hf 2.81, 4 In 2.86, 2 Ir 2.99-3.15

Calculated values
As for the density of states at the Fermi level: 0.47 states/eV per atom. For the theoretical density, the calculation gives 16.12 Mg/m³. The formation enthalpy at 0 K is -2.42 eV per formula unit.